Sn3Pb2Au2 | PBE-GGA | optimized geometry

```
Sn3Pb2Au2
1.0
-7.172 3.549 3.549
-3.549 3.549 7.172
-3.549 7.172 3.549
Au Pb Sn
2 2 3
Cartesian
-0.061 0.061 0.061
-7.061 7.061 7.061
-3.397 3.397 3.397
-10.801 10.801 10.801
-5.345 5.345 5.345
-8.975 8.975 8.975
-12.520 12.520 12.520
```

Output
Raw total energy in eV per atom: -3.61



Al8Fe5 | PBE-GGA | optimized geometry

```
Al8Fe5
1.0
-4.394 -4.394 4.394
-4.394 4.394 -4.394
4.394 -4.394 -4.394
Al Fe
16 10
Cartesian
-0.930 -0.930 0.930
-0.930 0.930 -0.930
-4.737 -1.661 1.661
-4.737 1.661 -1.661
0.930 -0.930 -0.930
-2.734 -2.734 0.343
-2.734 0.343 -2.734
-1.661 -4.737 1.661
-1.661 1.661 -4.737
-4.051 -1.661 -1.661
0.343 -2.734 -2.734
-1.661 -4.051 -1.661
-1.661 -1.661 -4.051
1.661 -4.737 -1.661
1.661 -1.661 -4.737
-3.464 -3.464 -3.464
-2.913 -2.913 2.913
-3.163 0.000 0.000
-5.625 0.000 0.000
-2.913 2.913 -2.913
-1.481 -1.481 -1.481
0.000 -3.163 0.000
0.000 0.000 -3.163
0.000 -5.625 0.000
0.000 0.000 -5.625
2.913 -2.913 -2.913
```

Output
Raw total energy in eV per atom: -5.78



Pr2TlPd4Pb | PBE-GGA | optimized geometry

```
Pr2TlPd4Pb
1.0
4.739 0.000 0.000
-2.370 4.104 0.000
0.000 0.000 9.155
Pb Pd Pr Tl
1 4 2 1
Cartesian
0.000 0.000 4.578
0.000 2.736 0.790
0.000 2.736 3.753
2.370 1.368 5.402
2.370 1.368 8.365
2.370 1.368 2.282
0.000 2.736 6.874
0.000 0.000 0.000
```

Output
Raw total energy in eV per atom: -5.18



NbGa3 | PBE-GGA | optimized geometry

```
NbGa3
1.0
-1.908 1.908 4.390
1.908 -1.908 4.390
1.908 1.908 -4.390
Ga Nb
3 1
Cartesian
0.000 0.000 4.390
0.000 1.908 2.195
1.908 0.000 2.195
0.000 0.000 0.000
```

Output
Raw total energy in eV per atom: -5.10



Cu2SiHgTe2Se2 | PBE-GGA | optimized geometry

```
Cu2SiHgTe2Se2
1.0
0.000 4.261 5.713
4.255 0.000 5.713
4.255 4.261 0.000
Cu Hg Se Si Te
2 1 2 1 2
Cartesian
2.127 2.130 2.753
6.382 6.391 8.466
4.255 4.261 0.037
2.368 4.261 7.259
6.141 4.261 7.259
4.255 4.261 5.859
4.255 2.335 4.180
4.255 6.186 4.180
```

Output
Polymorph energy (0 for the lowest one) in kJ/mol of atoms: 0.5



Rb2ZrTaSe6 | PBE-GGA | optimized geometry

```
Rb2ZrTaSe6
1.0
-1.956 -1.076 7.035
-6.184 -3.360 -2.233
6.944 -8.099 -7.045
Rb Se Ta Zr
4 12 2 2
Cartesian
-2.820 -4.509 2.411
-4.927 -5.649 -2.244
3.732 -6.886 0.000
1.624 -8.026 -4.655
-5.184 -2.835 0.057
-2.052 -1.135 1.271
-5.940 -6.147 1.298
-1.813 -4.014 -1.133
-2.623 -7.355 0.005
0.388 -5.720 1.175
-1.583 -6.814 -3.419
1.428 -5.180 -2.249
0.618 -8.521 -1.111
4.745 -6.388 -3.542
0.856 -11.400 -3.515
3.989 -9.700 -2.301
-0.978 -0.538 3.517
-0.598 -6.267 -1.122
-3.092 -1.680 -1.117
3.472 -4.050 -3.523
```

Output
Raw total energy in eV per atom: -5.28



TbZnCu | PBE-GGA | optimized geometry

```
TbZnCu
1.0
0.000 3.158 3.158
3.158 0.000 3.158
3.158 3.158 0.000
Cu Tb Zn
1 1 1
Cartesian
0.000 0.000 0.000
1.579 1.579 1.579
4.736 4.736 4.736
```

Output
Raw total energy in eV per atom: -3.34



TeMoSe3Br | PBE-GGA | optimized geometry

```
TeMoSe3Br
1.0
-2.934 4.379 3.914
-6.596 -3.096 -3.256
3.987 -5.723 3.921
Br Mo Se Te
2 2 6 2
Cartesian
-5.245 -1.657 1.697
-0.298 -2.783 2.882
-0.660 0.971 0.875
-4.883 -5.410 3.704
-3.196 1.570 1.361
-5.292 -3.618 -1.688
-1.981 0.736 3.210
-3.562 -5.175 1.369
-0.250 -0.822 6.267
-2.347 -6.009 3.217
-1.846 -1.393 0.159
-3.696 -3.047 4.420
```

Output
Polymorph energy (0 for the lowest one) in kJ/mol of atoms: 5.5



Tb2GdFeSn3Ir2 | PBE-GGA | optimized geometry

```
Tb2GdFeSn3Ir2
1.0
-3.335 -0.216 -1.778
-1.602 -6.413 3.783
-1.992 6.747 2.917
Fe Gd Ir Sn Tb
1 1 2 3 2
Cartesian
-3.592 0.334 6.698
-1.467 0.136 2.735
-3.400 -2.141 2.607
-3.530 2.260 2.318
-3.780 -4.785 3.641
-4.339 0.141 4.092
-4.069 4.989 2.998
-0.948 -3.796 2.239
-1.179 3.994 1.727
```

Output
Raw total energy in eV per atom: -6.45



DyCo12 | PBE-GGA | optimized geometry

```
DyCo12
1.0
-4.107 4.107 2.301
4.107 -4.107 2.301
4.107 4.107 -2.301
Co Dy
12 1
Cartesian
-2.053 2.053 1.150
2.053 -2.053 1.150
0.000 1.844 2.301
1.844 0.000 2.301
0.000 2.945 0.000
2.945 0.000 0.000
2.053 2.053 -1.150
2.053 2.053 1.150
0.000 5.268 0.000
5.268 0.000 0.000
2.263 4.107 0.000
4.107 2.263 0.000
0.000 0.000 0.000
```

Output
Raw total energy in eV per atom: -6.97



Cs2FeCuCl6 | PBE-GGA | optimized geometry

```
Cs2FeCuCl6
1.0
2.645 -6.179 2.881
-0.679 2.171 6.950
-5.540 0.120 -4.772
Cl Cs Cu Fe
6 2 1 1
Cartesian
1.843 -4.164 3.863
0.564 -1.149 2.819
1.403 -2.858 7.012
0.123 0.156 5.968
-2.199 -0.909 0.069
-1.374 -2.978 4.990
-0.955 -4.031 1.513
-2.617 0.144 3.547
0.000 0.000 0.000
0.983 -2.004 4.916
```

Output
Polymorph energy (0 for the lowest one) in kJ/mol of atoms: 0.0



Te3WSBr | PBE-GGA | optimized geometry

```
Te3WSBr
1.0
-1.733 2.852 5.878
-7.162 -2.417 2.938
1.524 -6.303 5.058
Br S Te W
2 2 6 2
Cartesian
-2.996 -2.192 4.111
-4.375 -3.677 9.763
-2.474 1.133 6.496
-4.897 -7.002 7.378
-5.951 -0.449 6.222
-7.315 -2.698 6.909
-5.433 -3.601 4.029
-1.938 -2.268 9.845
-0.056 -3.171 6.965
-1.420 -5.420 7.652
-8.524 -0.173 7.572
1.154 -5.696 6.302
```

Output
Polymorph energy (0 for the lowest one) in kJ/mol of atoms: 2.8



NdGa | PBE-GGA | optimized geometry

```
NdGa
1.0
0.988 2.692 3.778
-2.912 -0.007 3.744
1.368 -2.027 4.064
Ga Nd
1 1
Cartesian
0.000 0.000 0.000
-0.139 0.164 2.896
```

Output
Raw total energy in eV per atom: -3.48



LiHfAgTeS2 | PBE-GGA | optimized geometry

```
LiHfAgTeS2
1.0
1.865 -6.624 0.000
1.865 6.624 0.000
0.000 0.000 10.579
Ag Hf Li S Te
2 2 2 4 2
Cartesian
1.865 6.217 2.645
1.865 -6.217 7.934
1.865 0.000 0.000
1.865 0.000 5.289
1.865 -2.655 2.645
1.865 2.655 7.934
1.865 4.941 0.560
1.865 4.941 4.729
1.865 -4.941 5.850
1.865 -4.941 10.019
1.865 1.627 2.645
1.865 -1.627 7.934
```

Output
Raw total energy in eV per atom: -5.22



NbBiN2O | PBE-GGA | optimized geometry

```
NbBiN2O
1.0
-0.255 6.673 -4.442
-8.252 0.022 0.507
0.671 -2.055 11.017
Bi N Nb O
8 16 8 8
Cartesian
-2.239 3.602 -2.089
-1.893 0.253 0.213
-5.951 5.413 1.340
-6.030 2.066 3.669
-1.805 2.574 3.413
-1.884 -0.773 5.742
-5.943 4.387 6.869
-5.597 1.039 9.171
-4.538 4.651 -2.815
-7.981 0.903 1.692
-2.180 6.107 -2.061
-6.282 3.083 0.463
-2.101 2.585 1.124
-5.989 -0.439 3.634
-3.926 4.774 0.111
0.023 1.007 4.164
-7.858 3.633 2.918
-3.909 -0.134 6.972
-1.846 5.079 3.448
-5.734 2.055 5.959
-1.554 1.558 6.619
-5.655 -1.466 9.143
0.145 3.737 5.390
-3.298 -0.011 9.897
-4.030 2.738 0.736
0.044 -0.432 2.682
-4.328 6.089 -1.347
-8.150 2.941 1.084
0.314 1.700 5.999
-3.508 -1.449 8.430
-7.880 5.072 4.400
-3.805 1.903 6.346
-7.984 4.677 -2.548
-4.528 0.998 1.642
-0.493 4.662 -0.262
-3.430 0.999 4.321
-4.405 3.641 2.762
-7.342 -0.022 7.345
-3.308 3.643 5.440
0.148 -0.037 9.630
```

Output
Raw total energy in eV per atom: -7.82



Pa4GeN2 | PBE-GGA | optimized geometry

```
Pa4GeN2
1.0
-0.841 -3.907 -2.042
3.726 -1.741 1.797
-3.310 -1.908 5.014
Ge N Pa
1 2 4
Cartesian
0.000 0.000 0.000
1.443 -2.824 -0.122
-1.655 -0.954 2.507
-1.295 -2.458 0.303
0.989 -1.374 2.223
-2.856 -3.358 2.669
-0.573 -2.275 4.588
```

Output
Raw total energy in eV per atom: -8.47



Tc2NiGe | PBE-GGA | optimized geometry

```
Tc2NiGe
1.0
0.000 3.013 3.013
3.013 0.000 3.013
3.013 3.013 0.000
Ge Ni Tc
1 1 2
Cartesian
3.013 3.013 3.013
1.507 1.507 1.507
0.000 0.000 0.000
4.519 4.519 4.519
```

Output
Raw total energy in eV per atom: -7.65



RbIrNO | PBE-GGA | optimized geometry

```
RbIrNO
1.0
-2.197 -0.272 5.517
-1.549 -8.725 -1.047
4.768 -1.068 1.846
Ir N O Rb
4 4 4 4
Cartesian
-1.906 -3.418 3.058
-1.206 -5.526 0.030
-0.084 -4.022 5.391
0.616 -6.129 2.363
-1.548 -1.719 3.031
-1.446 -7.191 -0.401
0.100 -2.344 5.800
0.203 -7.816 2.368
-0.653 -4.499 1.873
-1.810 -4.966 4.592
2.248 -4.969 1.498
1.090 -5.436 4.217
-0.410 -1.418 0.304
-2.564 -7.498 2.349
1.244 -2.042 3.060
-0.910 -8.123 5.106
```

Output
Polymorph energy (0 for the lowest one) in kJ/mol of atoms: 25.1



TbScSi4Ni2 | PBE-GGA | optimized geometry

```
TbScSi4Ni2
1.0
-3.727 0.256 1.182
1.978 6.604 4.803
1.004 8.227 1.380
Ni Sc Si Tb
2 1 4 1
Cartesian
0.527 2.620 1.092
0.594 12.352 5.688
1.177 5.853 2.440
0.111 0.554 0.231
-1.112 3.866 2.150
2.244 11.159 4.653
0.994 14.340 6.517
-0.061 9.092 4.328
```

Output
Raw total energy in eV per atom: -6.26



Li2AlRe | PBE-GGA | optimized geometry

```
Li2AlRe
1.0
-2.465 -3.031 -1.731
-3.785 1.033 -1.692
-0.558 -0.140 -4.234
Al Li Re
1 2 1
Cartesian
-3.404 -1.069 -3.828
0.000 0.000 0.000
-5.106 -1.604 -5.742
-1.702 -0.535 -1.914
```

Output
Raw total energy in eV per atom: -4.69



NaBeBiPt | PBE-GGA | optimized geometry

```
NaBeBiPt
1.0
-2.471 -0.914 3.953
-4.335 1.858 0.574
-3.830 -2.804 -0.188
Be Bi Na Pt
1 1 1 1
Cartesian
-7.977 -1.395 3.255
-5.318 -0.930 2.170
0.000 0.000 0.000
-2.659 -0.465 1.085
```

Output
Polymorph energy (0 for the lowest one) in kJ/mol of atoms: 12.6